1.
Material: CdSb2TeMo
Method: DFT, PBE
State: optimized geometry

Structure (POSCAR):
```
CdSb2TeMo
1.0
-1.594 -0.839 4.991
-1.866 -4.766 -1.397
4.689 -2.168 1.133
Te Sb Mo Cd
1 2 1 1
Direct
0.000 0.000 0.500
0.000 0.500 0.000
0.500 0.000 0.000
0.000 0.000 0.000
0.500 0.500 0.500
```

Values from the calculation:
- Calculated density: 6462 kg/m³
- Formation energy (no corrections): 0.438 eV/atom
- E above lowest polymorph: 0.000 eV/atom
- Electronic total energy: -4.1884 eV/atom

=====

2.
Material: Sc2CdMo
Method: DFT, PBE
State: optimized geometry

Structure (POSCAR):
```
Sc2CdMo
1.0
-5.482 -7.874 1.413
-3.060 -9.201 -0.179
-2.854 -8.779 2.974
Mo Sc Cd
1 2 1
Direct
0.750 0.750 0.750
0.008 0.008 0.008
0.492 0.492 0.492
0.250 0.250 0.250
```

Values from the calculation:
- Calculated density: 5910 kg/m³
- Formation energy from the elements: 0.118 eV/atom
- Electronic total energy: -5.9840 eV/atom

=====

> Which formula does entry 1 have?

CdSb2TeMo